First-principles (PBEsol) data for LaMgAu3 after structural relaxation, as listed in the Alexandria database.

## Properties
uncorrected energy: -16.7 eV per cell
formation energy: 9.789 kcal/mol of atoms

Geometry as CIF:
```
data_LaMgAu3
_cell_length_a 5.465
_cell_length_b 5.465
_cell_length_c 5.465
_cell_angle_alpha 90.00
_cell_angle_beta 90.00
_cell_angle_gamma 90.00
_symmetry_space_group_name_H-M 'P m -3 m'
_symmetry_Int_Tables_number 221
_symmetry_space_group_name_Hall '-P 4 2 3'
loop_
_atom_site_label
_atom_site_type_symbol
_atom_site_fract_x
_atom_site_fract_y
_atom_site_fract_z
La1 La 0.000 0.000 0.000
Mg1 Mg 0.500 0.500 0.500
Au1 Au 0.000 0.000 0.500
```